# KVH2SeO7

Crystalline KVH2SeO7 at its relaxed geometry (PBE with a Hubbard U, Alexandria).

Cell lengths 7.4769, 10.8529, 10.3953 Å; angles 90.00, 131.59, 90.00 degrees
Sites, in units of the cell vectors:
K (0.1654, 0.0687, 0.2429)
K (0.1654, 0.4313, 0.7429)
K (0.8346, 0.5687, 0.2571)
K (0.8346, 0.9313, 0.7571)
V (0.4202, 0.0887, 0.7522)
V (0.4202, 0.4113, 0.2522)
V (0.5798, 0.5887, 0.7478)
V (0.5798, 0.9113, 0.2478)
H (0.0468, 0.6678, 0.8763)
H (0.0468, 0.8322, 0.3763)
H (0.0574, 0.6184, 0.0260)
H (0.0574, 0.8816, 0.5260)
H (0.9426, 0.1184, 0.4740)
H (0.9426, 0.3816, 0.9740)
H (0.9532, 0.1678, 0.6237)
H (0.9532, 0.3322, 0.1237)
Se (0.3988, 0.6974, 0.3611)
Se (0.3988, 0.8026, 0.8611)
Se (0.6012, 0.1974, 0.1389)
Se (0.6012, 0.3026, 0.6389)
O (0.0492, 0.1544, 0.5902)
O (0.0492, 0.3456, 0.0902)
O (0.1856, 0.7057, 0.8008)
O (0.1856, 0.7943, 0.3008)
O (0.2576, 0.5602, 0.2635)
O (0.2576, 0.9398, 0.7635)
O (0.3003, 0.5481, 0.5818)
O (0.3003, 0.9519, 0.0818)
O (0.3713, 0.0392, 0.5804)
O (0.3713, 0.4608, 0.0804)
O (0.3818, 0.1845, 0.9262)
O (0.3818, 0.3155, 0.4262)
O (0.4820, 0.2339, 0.2277)
O (0.4820, 0.2661, 0.7277)
O (0.5180, 0.7339, 0.2723)
O (0.5180, 0.7661, 0.7723)
O (0.6182, 0.6845, 0.5738)
O (0.6182, 0.8155, 0.0738)
O (0.6287, 0.5392, 0.9196)
O (0.6287, 0.9608, 0.4196)
O (0.6997, 0.0481, 0.9182)
O (0.6997, 0.4519, 0.4182)
O (0.7424, 0.0602, 0.2365)
O (0.7424, 0.4398, 0.7365)
O (0.8144, 0.2057, 0.6992)
O (0.8144, 0.2943, 0.1992)
O (0.9508, 0.6544, 0.9098)
O (0.9508, 0.8456, 0.4098)

**Total moment**: 0.04 μB per formula unit
**Uncorrected energy**: -5.734 eV/atom
**SG**: No. 14